No. 1
Compound: LiCuAs
Source: Alexandria via LeMat-Bulk
Functional: PBE-GGA
Structure: relaxed

Formation energy: -353 meV per atom
DOS(E_F): 0.8 states/eV/f.u.
E_tot: -3.906 eV per atom
Symmetry: C2/m

Cell lengths 6.862, 3.848, 3.850 Å; angles 89.92, 73.68, 106.29 degrees
Element x y z (fractional)
As: 0.297 0.770 0.160
As: 0.793 0.520 0.411
Cu: 0.045 0.145 0.285
Cu: 0.045 0.645 0.785
Li: 0.371 0.308 0.623
Li: 0.720 0.982 0.949

=====

No. 2
Compound: Li2CuAs
Source: Alexandria via LeMat-Bulk
Functional: PBE-GGA
Structure: relaxed

Formation energy: -346 meV per atom
DOS(E_F): 1.8 states/eV/f.u.
E_tot: -3.490 eV per atom
Symmetry: P4/mmm

Cell lengths 3.714, 3.713, 4.007 Å; angles 90.00, 90.00, 90.00 degrees
Element x y z (fractional)
As: 0.500 0.000 0.500
Cu: 0.000 0.500 0.500
Li: 0.000 0.000 0.000
Li: 0.500 0.500 0.000

=====

No. 3
Compound: LiCuAs4
Source: Alexandria via LeMat-Bulk
Functional: PBE-GGA
Structure: relaxed

Formation energy: 263 meV per atom
DOS(E_F): 3.4 states/eV/f.u.
E_tot: -3.839 eV per atom
Symmetry: F-43m

Cell lengths 5.518, 5.518, 5.518 Å; angles 60.00, 60.00, 60.00 degrees
Element x y z (fractional)
Li: 0.000 0.000 0.000
Cu: 0.750 0.750 0.750
As: 0.870 0.377 0.377
As: 0.377 0.377 0.870
As: 0.377 0.870 0.377
As: 0.377 0.377 0.377

=====

No. 4
Compound: LiCu3As2
Source: Alexandria via LeMat-Bulk
Functional: PBE-GGA
Structure: relaxed

Formation energy: -165 meV per atom
DOS(E_F): 1.7 states/eV/f.u.
E_tot: -4.082 eV per atom
Symmetry: C2/m

Cell lengths 3.887, 9.091, 6.667 Å; angles 122.19, 90.00, 102.35 degrees
Element x y z (fractional)
Li: 0.181 0.361 0.238
Li: 0.819 0.639 0.762
Cu: 0.696 0.392 0.924
Cu: 0.057 0.113 0.727
Cu: 0.428 0.855 0.515
Cu: 0.572 0.145 0.485
Cu: 0.943 0.887 0.273
Cu: 0.304 0.608 0.076
As: 0.552 0.104 0.931
As: 0.448 0.896 0.069
As: 0.180 0.359 0.646
As: 0.820 0.641 0.354

=====

No. 5
Compound: LiCuAs
Source: Alexandria via LeMat-Bulk
Functional: PBE-GGA
Structure: relaxed

Formation energy: -32 meV per atom
DOS(E_F): 0.5 states/eV/f.u.
E_tot: -3.585 eV per atom
Symmetry: P3m1

Cell lengths 2.877, 2.877, 6.337 Å; angles 90.00, 90.00, 120.00 degrees
Element x y z (fractional)
As: 0.000 0.000 0.007
Cu: 0.667 0.333 0.329
Li: 0.333 0.667 0.664

=====

No. 6
Compound: Li5CuAs2
Source: Alexandria via LeMat-Bulk
Functional: PBE-GGA
Structure: relaxed

Formation energy: -544 meV per atom
DOS(E_F): 0.6 states/eV/f.u.
E_tot: -3.415 eV per atom
Symmetry: P6_3/mmc

Cell lengths 4.471, 4.471, 16.046 Å; angles 90.00, 90.00, 120.00 degrees
Element x y z (fractional)
Li: 0.000 0.000 0.366
Li: 0.000 0.000 0.134
Li: 0.667 0.333 0.250
Li: 0.000 0.000 0.866
Li: 0.667 0.333 0.054
Li: 0.333 0.667 0.750
Li: 0.333 0.667 0.946
Li: 0.333 0.667 0.554
Li: 0.667 0.333 0.446
Li: 0.000 0.000 0.634
Cu: 0.333 0.667 0.250
Cu: 0.667 0.333 0.750
As: 0.667 0.333 0.609
As: 0.333 0.667 0.109
As: 0.333 0.667 0.391
As: 0.667 0.333 0.891

=====

No. 7
Compound: Li4CuAs
Source: Alexandria via LeMat-Bulk
Functional: PBE-GGA
Structure: relaxed

Formation energy: -6 meV per atom
DOS(E_F): 1.9 states/eV/f.u.
E_tot: -2.739 eV per atom
Symmetry: F-43m

Cell lengths 4.986, 4.986, 4.986 Å; angles 60.00, 60.00, 60.00 degrees
Element x y z (fractional)
Li: 0.874 0.375 0.375
Li: 0.375 0.375 0.874
Li: 0.375 0.874 0.375
Li: 0.375 0.375 0.375
Cu: 0.000 0.000 0.000
As: 0.750 0.750 0.750

=====

No. 8
Compound: Li2CuAs
Source: Alexandria via LeMat-Bulk
Functional: PBE-GGA
Structure: relaxed

Formation energy: -296 meV per atom
DOS(E_F): 0.6 states/eV/f.u.
E_tot: -3.439 eV per atom
Symmetry: Cmmm

Cell lengths 4.476, 4.476, 2.996 Å; angles 90.00, 90.00, 108.01 degrees
Element x y z (fractional)
As: 0.500 0.000 0.500
Cu: 0.000 0.500 0.500
Li: 0.000 0.000 0.000
Li: 0.500 0.500 0.000

=====

No. 9
Compound: Li2CuAs
Source: Alexandria via LeMat-Bulk
Functional: PBE-GGA
Structure: relaxed

Formation energy: -370 meV per atom
DOS(E_F): 0.8 states/eV/f.u.
E_tot: -3.514 eV per atom
Symmetry: I4/mmm

Cell lengths 4.577, 4.577, 4.577 Å; angles 129.82, 129.81, 73.70 degrees
Element x y z (fractional)
As: 0.750 0.250 0.500
Cu: 0.250 0.750 0.500
Li: 0.000 0.000 0.000
Li: 0.500 0.500 0.000

=====

No. 10
Compound: Li2CuAs2
Source: Alexandria via LeMat-Bulk
Functional: PBE-GGA
Structure: relaxed

Formation energy: -410 meV per atom
DOS(E_F): 1.1 states/eV/f.u.
E_tot: -3.855 eV per atom
Symmetry: P4/mbm
Energy above the most stable polymorph in this dataset: 8 meV/atom

Cell lengths 6.343, 6.343, 4.182 Å; angles 90.00, 90.00, 90.00 degrees
Element x y z (fractional)
As: 0.359 0.859 0.000
As: 0.859 0.641 0.000
As: 0.641 0.141 0.000
As: 0.141 0.359 0.000
Cu: 0.000 0.000 0.000
Cu: 0.500 0.500 0.000
Li: 0.165 0.665 0.500
Li: 0.665 0.835 0.500
Li: 0.835 0.335 0.500
Li: 0.335 0.165 0.500

=====

No. 11
Compound: LiCu3As
Source: Alexandria via LeMat-Bulk
Functional: PBE-GGA
Structure: relaxed

Formation energy: 232 meV per atom
DOS(E_F): 1.6 states/eV/f.u.
E_tot: -3.538 eV per atom
Symmetry: Pm-3m
Energy above the most stable polymorph in this dataset: 0 meV/atom

Cell lengths 4.527, 4.527, 4.527 Å; angles 90.00, 90.00, 90.00 degrees
Element x y z (fractional)
As: 0.000 0.000 0.000
Cu: 0.000 0.500 0.000
Cu: 0.000 0.000 0.500
Cu: 0.500 0.000 0.000
Li: 0.500 0.500 0.500

=====

No. 12
Compound: Li3Cu2As4
Source: Alexandria via LeMat-Bulk
Functional: PBE-GGA
Structure: relaxed

Formation energy: -338 meV per atom
DOS(E_F): 1.7 states/eV/f.u.
E_tot: -3.953 eV per atom
Symmetry: C2/m

Cell lengths 3.928, 5.814, 8.382 Å; angles 59.01, 76.45, 70.26 degrees
Element x y z (fractional)
Li: 0.394 0.521 0.692
Li: 0.000 0.000 0.000
Li: 0.606 0.479 0.308
Cu: 0.285 0.037 0.393
Cu: 0.715 0.963 0.607
As: 0.307 0.328 0.058
As: 0.693 0.672 0.942
As: 0.076 0.240 0.609
As: 0.924 0.760 0.391

=====

No. 13
Compound: LiCu6As2
Source: Alexandria via LeMat-Bulk
Functional: PBE-GGA
Structure: relaxed

Formation energy: -63 meV per atom
DOS(E_F): 2.4 states/eV/f.u.
E_tot: -4.040 eV per atom
Symmetry: P4/mmm

Cell lengths 3.749, 3.749, 9.324 Å; angles 90.00, 90.00, 90.00 degrees
Element x y z (fractional)
Li: 0.000 0.000 0.000
Cu: 0.000 0.500 0.311
Cu: 0.500 0.000 0.311
Cu: 0.000 0.500 0.689
Cu: 0.500 0.000 0.689
Cu: 0.500 0.500 0.500
Cu: 0.000 0.000 0.500
As: 0.500 0.500 0.142
As: 0.500 0.500 0.858